DyNpCr2O8 | PBE with a Hubbard U | optimized geometry

CIF file:
```
data_DyNpCr2O8
_chemical_formula_sum 'Dy2 Np2 Cr4 O16'
_cell_length_a 6.7117
_cell_length_b 6.8083
_cell_length_c 6.6339
_cell_angle_alpha 90.00
_cell_angle_beta 90.00
_cell_angle_gamma 90.00
_space_group_name_H-M_alt 'C m m m'
_space_group_IT_number 65
_space_group_name_Hall '-C 2 2'
loop_
_atom_site_label
_atom_site_fract_x
_atom_site_fract_y
_atom_site_fract_z
Dy1 0.0000 0.0000 0.0000
Np1 0.0000 0.0000 0.5000
Cr1 0.0000 0.5000 0.2387
O1 0.0000 0.3017 0.5000
O2 0.0000 0.3241 0.0000
O3 0.2014 0.0000 0.2708
```

Computed properties:
* calculated density: 6918 kg/m³
* E_tot: -0.6201 Ry/atom